# Ac2La2NiAu2

A relaxed structure of Ac2La2NiAu2 (GGA-PBE, the Alexandria database).

## Properties
total DFT energy (no corrections)	-4.8575	eV per atom
formation energy	-0.514	eV/atom
magnetic moment	0.000	μB per cell

Geometry as CIF:
```
data_Ac2La2NiAu2
_space_group_name_H-M_alt 'P -1'
_space_group_IT_number 2
_cell_length_a 4.121
_cell_length_b 7.474
_cell_length_c 7.949
_cell_angle_alpha 110.92
_cell_angle_beta 104.92
_cell_angle_gamma 90.04
loop_
_space_group_symop_operation_xyz
'x,y,z'
'-x,-y,-z'
loop_
_atom_site_label
_atom_site_fract_x
_atom_site_fract_y
_atom_site_fract_z
Ac1 0.211 0.227 0.420
La1 0.476 0.239 0.953
Ni1 0.000 0.000 0.000
Au1 0.119 0.562 0.240
```